The following is a DFT calculation (PBE with a Hubbard U) of a geometry-optimized Ba4LaTi4CrO15 structure.

Calculated values
total moment	3.0	μB/cell
raw total energy	-0.5908	Ry/atom
crystal system	orthorhombic

Lattice parameters (Å, degrees): 14.421 14.421 4.018 90.00 90.00 157.23
Atoms (fractional coordinates):
Ba 0.098 0.902 0.000
Ba 0.300 0.700 0.000
Ba 0.700 0.300 0.000
Ba 0.902 0.098 0.000
La 0.500 0.500 0.000
Ti 0.199 0.801 0.500
Ti 0.402 0.598 0.500
Ti 0.598 0.402 0.500
Ti 0.801 0.199 0.500
Cr 0.000 0.000 0.500
O 0.000 0.000 0.000
O 0.000 0.500 0.500
O 0.101 0.398 0.500
O 0.200 0.800 0.000
O 0.218 0.313 0.500
O 0.313 0.218 0.500
O 0.398 0.101 0.500
O 0.404 0.596 0.000
O 0.500 0.000 0.500
O 0.596 0.404 0.000
O 0.602 0.899 0.500
O 0.687 0.782 0.500
O 0.782 0.687 0.500
O 0.800 0.200 0.000
O 0.899 0.602 0.500